1.
Compound: ThZn5Cu2
Source: Alexandria via LeMat-Bulk
Functional: PBE-GGA
Structure: relaxed

Computed properties:
**Symmetry**: Immm (71)
**Calculated volume**: 16.88 A^3/atom
**Calculated formation energy**: -17.81 kJ per mole of atoms
**Total magnetic moment**: 0.00 μB per formula unit

a b c (Å): 3.936 7.250 9.462
angles (deg): 90.00 90.00 90.00
Element x y z (fractional)
Th  0.000  0.000  0.000
Th  0.500  0.500  0.500
Zn  0.000  0.186  0.352
Zn  0.000  0.186  0.648
Zn  0.000  0.500  0.000
Zn  0.000  0.814  0.352
Zn  0.000  0.814  0.648
Zn  0.500  0.000  0.500
Zn  0.500  0.314  0.148
Zn  0.500  0.314  0.852
Zn  0.500  0.686  0.148
Zn  0.500  0.686  0.852
Cu  0.000  0.500  0.257
Cu  0.000  0.500  0.743
Cu  0.500  0.000  0.243
Cu  0.500  0.000  0.757

=====

2.
Compound: ThZnCu3
Source: Alexandria via LeMat-Bulk
Functional: PBE-GGA
Structure: relaxed

Computed properties:
**Symmetry**: Pnma (62)
**Calculated volume**: 17.12 A^3/atom
**Calculated formation energy**: -14.28 kJ per mole of atoms
**Total magnetic moment**: 0.00 μB per formula unit

a b c (Å): 8.551 4.688 8.540
angles (deg): 90.00 90.00 90.00
Element x y z (fractional)
Th  0.238  0.250  0.003
Th  0.262  0.750  0.503
Th  0.738  0.250  0.497
Th  0.762  0.750  0.997
Zn  0.087  0.250  0.349
Zn  0.413  0.750  0.849
Zn  0.587  0.250  0.151
Zn  0.913  0.750  0.651
Cu  0.097  0.750  0.155
Cu  0.101  0.250  0.652
Cu  0.108  0.750  0.848
Cu  0.392  0.250  0.348
Cu  0.399  0.750  0.152
Cu  0.403  0.250  0.655
Cu  0.597  0.750  0.345
Cu  0.601  0.250  0.848
Cu  0.608  0.750  0.652
Cu  0.892  0.250  0.152
Cu  0.899  0.750  0.348
Cu  0.903  0.250  0.845

=====

3.
Compound: ThZn12Cu6
Source: Alexandria via LeMat-Bulk
Functional: PBE-GGA
Structure: relaxed

Computed properties:
**Symmetry**: R-3m (166)
**Calculated volume**: 15.63 A^3/atom
**Calculated formation energy**: -4.36 kJ per mole of atoms
**Total magnetic moment**: 0.00 μB per formula unit

a b c (Å): 6.943 6.943 6.943
angles (deg): 104.29 104.29 104.29
Element x y z (fractional)
Th  0.000  0.000  0.000
Zn  0.113  0.500  0.887
Zn  0.113  0.887  0.500
Zn  0.147  0.404  0.404
Zn  0.404  0.147  0.404
Zn  0.404  0.404  0.147
Zn  0.500  0.113  0.887
Zn  0.500  0.887  0.113
Zn  0.596  0.596  0.853
Zn  0.596  0.853  0.596
Zn  0.853  0.596  0.596
Zn  0.887  0.113  0.500
Zn  0.887  0.500  0.113
Cu  0.278  0.278  0.707
Cu  0.278  0.707  0.278
Cu  0.293  0.722  0.722
Cu  0.707  0.278  0.278
Cu  0.722  0.293  0.722
Cu  0.722  0.722  0.293

=====

4.
Compound: Th3Zn2Cu7
Source: Alexandria via LeMat-Bulk
Functional: PBE-GGA
Structure: relaxed

Computed properties:
**Symmetry**: R-3m (166)
**Calculated volume**: 17.27 A^3/atom
**Calculated formation energy**: -12.66 kJ per mole of atoms
**Total magnetic moment**: 0.00 μB per formula unit

a b c (Å): 8.978 8.978 8.978
angles (deg): 34.52 34.52 34.52
Element x y z (fractional)
Th  0.000  0.000  0.000
Th  0.143  0.143  0.143
Th  0.857  0.857  0.857
Zn  0.333  0.333  0.333
Zn  0.667  0.667  0.667
Cu  0.083  0.580  0.580
Cu  0.420  0.420  0.917
Cu  0.420  0.917  0.420
Cu  0.500  0.500  0.500
Cu  0.580  0.083  0.580
Cu  0.580  0.580  0.083
Cu  0.917  0.420  0.420

=====

5.
Compound: ThZn3Cu8
Source: Alexandria via LeMat-Bulk
Functional: PBE-GGA
Structure: relaxed

Computed properties:
**Symmetry**: P3m1 (156)
**Calculated volume**: 14.71 A^3/atom
**Calculated formation energy**: -5.33 kJ per mole of atoms
**Total magnetic moment**: 0.00 μB per formula unit

a b c (Å): 4.965 4.965 8.268
angles (deg): 90.00 90.00 120.00
Element x y z (fractional)
Th  0.000  0.000  0.000
Zn  0.000  0.000  0.393
Zn  0.667  0.333  0.477
Zn  0.667  0.333  0.803
Cu  0.165  0.330  0.674
Cu  0.165  0.835  0.674
Cu  0.333  0.667  0.434
Cu  0.333  0.667  0.926
Cu  0.503  0.005  0.199
Cu  0.503  0.497  0.199
Cu  0.670  0.835  0.674
Cu  0.995  0.497  0.199

=====

6.
Compound: Th2Zn5Cu5
Source: Alexandria via LeMat-Bulk
Functional: PBE-GGA
Structure: relaxed

Computed properties:
**Symmetry**: Pmmm (47)
**Calculated volume**: 16.65 A^3/atom
**Calculated formation energy**: -24.87 kJ per mole of atoms
**Total magnetic moment**: 0.00 μB per formula unit

a b c (Å): 4.236 5.226 9.022
angles (deg): 90.00 90.00 90.00
Element x y z (fractional)
Th  0.000  0.000  0.000
Th  0.000  0.500  0.500
Zn  0.500  0.000  0.500
Zn  0.500  0.251  0.246
Zn  0.500  0.251  0.754
Zn  0.500  0.749  0.246
Zn  0.500  0.749  0.754
Cu  0.000  0.000  0.334
Cu  0.000  0.000  0.666
Cu  0.000  0.500  0.163
Cu  0.000  0.500  0.837
Cu  0.500  0.500  0.000

=====

7.
Compound: Th4Zn3Cu5
Source: Alexandria via LeMat-Bulk
Functional: PBE-GGA
Structure: relaxed

Computed properties:
**Symmetry**: C2/m (12)
**Calculated volume**: 21.31 A^3/atom
**Calculated formation energy**: -5.46 kJ per mole of atoms
**Total magnetic moment**: 0.00 μB per formula unit

a b c (Å): 7.079 7.079 10.363
angles (deg): 123.23 123.23 37.13
Element x y z (fractional)
Th  0.019  0.019  0.305
Th  0.263  0.263  0.747
Th  0.737  0.737  0.253
Th  0.981  0.981  0.695
Zn  0.000  0.000  0.000
Zn  0.302  0.302  0.076
Zn  0.698  0.698  0.924
Cu  0.291  0.291  0.486
Cu  0.411  0.411  0.373
Cu  0.500  0.500  0.000
Cu  0.589  0.589  0.627
Cu  0.709  0.709  0.514

=====

8.
Compound: Th2Zn5Cu3
Source: Alexandria via LeMat-Bulk
Functional: PBE-GGA
Structure: relaxed

Computed properties:
**Symmetry**: P-4m2 (115)
**Calculated volume**: 18.19 A^3/atom
**Calculated formation energy**: -18.96 kJ per mole of atoms
**Total magnetic moment**: 0.00 μB per formula unit

a b c (Å): 4.207 4.207 10.276
angles (deg): 90.00 90.00 90.00
Element x y z (fractional)
Th  0.000  0.500  0.237
Th  0.500  0.000  0.763
Zn  0.000  0.000  0.500
Zn  0.000  0.500  0.639
Zn  0.500  0.000  0.361
Zn  0.500  0.500  0.000
Zn  0.500  0.500  0.500
Cu  0.000  0.000  0.000
Cu  0.000  0.500  0.874
Cu  0.500  0.000  0.126

=====

9.
Compound: Th3ZnCu2
Source: Alexandria via LeMat-Bulk
Functional: PBE-GGA
Structure: relaxed

Computed properties:
**Symmetry**: R-3c (167)
**Calculated volume**: 24.75 A^3/atom
**Calculated formation energy**: 2.69 kJ per mole of atoms
**Total magnetic moment**: 0.00 μB per formula unit

a b c (Å): 6.942 6.942 6.942
angles (deg): 72.73 72.73 72.73
Element x y z (fractional)
Th  0.074  0.750  0.426
Th  0.250  0.574  0.926
Th  0.426  0.074  0.750
Th  0.574  0.926  0.250
Th  0.750  0.426  0.074
Th  0.926  0.250  0.574
Zn  0.000  0.000  0.000
Zn  0.500  0.500  0.500
Cu  0.165  0.165  0.165
Cu  0.335  0.335  0.335
Cu  0.665  0.665  0.665
Cu  0.835  0.835  0.835

=====

10.
Compound: ThZn4Cu2
Source: Alexandria via LeMat-Bulk
Functional: PBE-GGA
Structure: relaxed

Computed properties:
**Symmetry**: Cmmm (65)
**Calculated volume**: 17.01 A^3/atom
**Energy above the most stable polymorph in this dataset**: 0.007 eV/atom
**Calculated formation energy**: -17.29 kJ per mole of atoms
**Total magnetic moment**: 0.00 μB per formula unit

a b c (Å): 4.170 13.705 4.167
angles (deg): 90.00 90.00 90.00
Element x y z (fractional)
Th  0.000  0.000  0.000
Th  0.500  0.500  0.000
Zn  0.000  0.188  0.500
Zn  0.000  0.313  0.000
Zn  0.000  0.687  0.000
Zn  0.000  0.812  0.500
Zn  0.500  0.187  0.000
Zn  0.500  0.312  0.500
Zn  0.500  0.688  0.500
Zn  0.500  0.813  0.000
Cu  0.000  0.413  0.500
Cu  0.000  0.587  0.500
Cu  0.500  0.087  0.500
Cu  0.500  0.913  0.500

=====

11.
Compound: Th2ZnCu3
Source: Alexandria via LeMat-Bulk
Functional: PBE-GGA
Structure: relaxed

Computed properties:
**Symmetry**: Fmmm (69)
**Calculated volume**: 19.93 A^3/atom
**Calculated formation energy**: -20.72 kJ per mole of atoms
**Total magnetic moment**: 0.00 μB per formula unit

a b c (Å): 8.922 8.452 5.662
angles (deg): 75.54 66.54 37.92
Element x y z (fractional)
Th  0.244  0.756  0.756
Th  0.250  0.250  0.250
Th  0.750  0.750  0.750
Th  0.756  0.244  0.244
Zn  0.333  0.333  0.667
Zn  0.667  0.667  0.333
Cu  0.167  0.167  0.833
Cu  0.168  0.666  0.334
Cu  0.334  0.832  0.168
Cu  0.666  0.168  0.832
Cu  0.832  0.334  0.666
Cu  0.833  0.833  0.167

=====

12.
Compound: ThZn6Cu2
Source: Alexandria via LeMat-Bulk
Functional: PBE-GGA
Structure: relaxed

Computed properties:
**Symmetry**: P4/mmm (123)
**Calculated volume**: 16.52 A^3/atom
**Energy above the most stable polymorph in this dataset**: 0.000 eV/atom
**Calculated formation energy**: -15.08 kJ per mole of atoms
**Total magnetic moment**: 0.00 μB per formula unit

a b c (Å): 4.155 4.155 8.612
angles (deg): 90.00 90.00 90.00
Element x y z (fractional)
Th  0.000  0.000  0.000
Zn  0.000  0.000  0.500
Zn  0.000  0.500  0.300
Zn  0.000  0.500  0.700
Zn  0.500  0.000  0.300
Zn  0.500  0.000  0.700
Zn  0.500  0.500  0.500
Cu  0.500  0.500  0.139
Cu  0.500  0.500  0.861

=====

13.
Compound: ThZn8Cu4
Source: Alexandria via LeMat-Bulk
Functional: PBE-GGA
Structure: relaxed

Computed properties:
**Symmetry**: I4/mmm (139)
**Calculated volume**: 15.21 A^3/atom
**Calculated formation energy**: -17.40 kJ per mole of atoms
**Total magnetic moment**: 0.00 μB per formula unit

a b c (Å): 6.791 6.791 6.791
angles (deg): 97.62 97.62 137.30
Element x y z (fractional)
Th  0.000  0.000  0.000
Zn  0.000  0.351  0.351
Zn  0.000  0.649  0.649
Zn  0.276  0.500  0.776
Zn  0.351  0.000  0.351
Zn  0.500  0.276  0.776
Zn  0.500  0.724  0.224
Zn  0.649  0.000  0.649
Zn  0.724  0.500  0.224
Cu  0.000  0.000  0.500
Cu  0.000  0.500  0.000
Cu  0.500  0.000  0.000
Cu  0.500  0.500  0.500

=====

14.
Compound: Th3Zn4Cu4
Source: Alexandria via LeMat-Bulk
Functional: PBE-GGA
Structure: relaxed

Computed properties:
**Symmetry**: C2/m (12)
**Calculated volume**: 19.32 A^3/atom
**Energy above the most stable polymorph in this dataset**: 0.000 eV/atom
**Calculated formation energy**: -20.06 kJ per mole of atoms
**Total magnetic moment**: 0.00 μB per formula unit

a b c (Å): 13.904 13.904 4.371
angles (deg): 99.01 99.01 14.76
Element x y z (fractional)
Th  0.000  0.000  0.000
Th  0.145  0.145  0.643
Th  0.855  0.855  0.357
Zn  0.255  0.255  0.256
Zn  0.405  0.405  0.906
Zn  0.595  0.595  0.094
Zn  0.745  0.745  0.744
Cu  0.311  0.311  0.813
Cu  0.453  0.453  0.453
Cu  0.547  0.547  0.547
Cu  0.689  0.689  0.187

=====

15.
Compound: ThZn6Cu2
Source: Alexandria via LeMat-Bulk
Functional: PBE-GGA
Structure: relaxed

Computed properties:
**Symmetry**: Fd-3m (227)
**Calculated volume**: 20.43 A^3/atom
**Energy above the most stable polymorph in this dataset**: 0.462 eV/atom
**Calculated formation energy**: 29.54 kJ per mole of atoms
**Total magnetic moment**: 0.00 μB per formula unit

a b c (Å): 8.042 8.042 8.042
angles (deg): 60.00 60.00 60.00
Element x y z (fractional)
Th  0.125  0.125  0.125
Th  0.875  0.875  0.875
Zn  0.138  0.138  0.612
Zn  0.138  0.612  0.138
Zn  0.138  0.612  0.612
Zn  0.388  0.388  0.862
Zn  0.388  0.862  0.388
Zn  0.388  0.862  0.862
Zn  0.612  0.138  0.138
Zn  0.612  0.138  0.612
Zn  0.612  0.612  0.138
Zn  0.862  0.388  0.388
Zn  0.862  0.388  0.862
Zn  0.862  0.862  0.388
Cu  0.000  0.500  0.500
Cu  0.500  0.000  0.500
Cu  0.500  0.500  0.000
Cu  0.500  0.500  0.500

=====

16.
Compound: ThZn2Cu2
Source: Alexandria via LeMat-Bulk
Functional: PBE-GGA
Structure: relaxed

Computed properties:
**Symmetry**: C2/m (12)
**Calculated volume**: 17.96 A^3/atom
**Energy above the most stable polymorph in this dataset**: 0.022 eV/atom
**Calculated formation energy**: -18.37 kJ per mole of atoms
**Total magnetic moment**: 0.00 μB per formula unit

a b c (Å): 9.888 4.283 4.565
angles (deg): 90.00 111.74 90.00
Element x y z (fractional)
Th  0.000  0.000  0.000
Th  0.500  0.500  0.000
Zn  0.136  0.500  0.584
Zn  0.364  0.000  0.416
Zn  0.636  0.000  0.584
Zn  0.864  0.500  0.416
Cu  0.241  0.500  0.171
Cu  0.259  0.000  0.829
Cu  0.741  0.000  0.171
Cu  0.759  0.500  0.829

=====

17.
Compound: ThZn5Cu7
Source: Alexandria via LeMat-Bulk
Functional: PBE-GGA
Structure: relaxed

Computed properties:
**Symmetry**: Imm2 (44)
**Calculated volume**: 14.64 A^3/atom
**Calculated formation energy**: -10.24 kJ per mole of atoms
**Total magnetic moment**: 0.00 μB per formula unit

a b c (Å): 6.671 6.671 6.671
angles (deg): 136.30 97.41 98.52
Element x y z (fractional)
Th  0.000  0.000  0.000
Zn  0.491  0.495  0.498
Zn  0.491  0.993  0.996
Zn  0.767  0.267  0.500
Zn  0.997  0.495  0.004
Zn  0.997  0.993  0.502
Cu  0.216  0.716  0.500
Cu  0.218  0.494  0.724
Cu  0.348  0.993  0.355
Cu  0.353  0.353  0.000
Cu  0.637  0.993  0.645
Cu  0.643  0.643  0.000
Cu  0.770  0.494  0.276

=====

18.
Compound: Th2Zn12Cu5
Source: Alexandria via LeMat-Bulk
Functional: PBE-GGA
Structure: relaxed

Computed properties:
**Symmetry**: R-3m (166)
**Calculated volume**: 15.82 A^3/atom
**Calculated formation energy**: -20.62 kJ per mole of atoms
**Total magnetic moment**: 0.00 μB per formula unit

a b c (Å): 6.747 6.747 6.747
angles (deg): 82.93 82.93 82.93
Element x y z (fractional)
Th  0.161  0.161  0.161
Th  0.839  0.839  0.839
Zn  0.154  0.154  0.649
Zn  0.154  0.649  0.154
Zn  0.214  0.500  0.786
Zn  0.214  0.786  0.500
Zn  0.351  0.846  0.846
Zn  0.500  0.214  0.786
Zn  0.500  0.786  0.214
Zn  0.649  0.154  0.154
Zn  0.786  0.214  0.500
Zn  0.786  0.500  0.214
Zn  0.846  0.351  0.846
Zn  0.846  0.846  0.351
Cu  0.000  0.500  0.500
Cu  0.397  0.397  0.397
Cu  0.500  0.000  0.500
Cu  0.500  0.500  0.000
Cu  0.603  0.603  0.603

=====

19.
Compound: ThZn4Cu2
Source: Alexandria via LeMat-Bulk
Functional: PBE-GGA
Structure: relaxed

Computed properties:
**Symmetry**: P4_2/mnm (136)
**Calculated volume**: 16.75 A^3/atom
**Energy above the most stable polymorph in this dataset**: 0.000 eV/atom
**Calculated formation energy**: -18.01 kJ per mole of atoms
**Total magnetic moment**: 0.00 μB per formula unit

a b c (Å): 7.531 7.531 4.133
angles (deg): 90.00 90.00 90.00
Element x y z (fractional)
Th  0.000  0.000  0.000
Th  0.500  0.500  0.500
Zn  0.087  0.341  0.500
Zn  0.159  0.587  0.000
Zn  0.341  0.087  0.500
Zn  0.413  0.841  0.000
Zn  0.587  0.159  0.000
Zn  0.659  0.913  0.500
Zn  0.841  0.413  0.000
Zn  0.913  0.659  0.500
Cu  0.216  0.784  0.500
Cu  0.284  0.284  0.000
Cu  0.716  0.716  0.000
Cu  0.784  0.216  0.500

=====

20.
Compound: ThZn6Cu6
Source: Alexandria via LeMat-Bulk
Functional: PBE-GGA
Structure: relaxed

Computed properties:
**Symmetry**: Immm (71)
**Calculated volume**: 14.86 A^3/atom
**Calculated formation energy**: -14.07 kJ per mole of atoms
**Total magnetic moment**: 0.00 μB per formula unit

a b c (Å): 6.728 6.728 6.728
angles (deg): 137.00 98.23 97.21
Element x y z (fractional)
Th  0.000  0.000  0.000
Zn  0.215  0.715  0.500
Zn  0.350  0.000  0.350
Zn  0.354  0.354  0.000
Zn  0.646  0.646  0.000
Zn  0.650  0.000  0.650
Zn  0.785  0.285  0.500
Cu  0.000  0.000  0.500
Cu  0.000  0.500  0.000
Cu  0.222  0.500  0.722
Cu  0.500  0.000  0.000
Cu  0.500  0.500  0.500
Cu  0.778  0.500  0.278